## SiAsPBr2 (PBE)

Data for crystalline SiAsPBr2 at its relaxed geometry.

```
5
Lattice="4.878 0.000 0.000 0.000 4.878 0.000 0.000 0.000 5.357" Properties=species:S:1:pos:R:3 pbc="T T T"
Si 0.000 0.000 0.000
As 0.000 0.000 2.678
P 2.439 2.439 2.678
Br 0.000 2.439 0.000
Br 2.439 0.000 0.000
```

## Properties
**DOS(E_F)**: 0.27 states/eV/atom

***

## Sm6As3P2Br (PBE)

Data for crystalline Sm6As3P2Br at its relaxed geometry.

```
12
Lattice="9.096 -2.087 0.000 9.096 2.087 0.000 -1.869 0.000 8.194" Properties=species:S:1:pos:R:3 pbc="T T T"
Sm -0.435 0.000 2.233
Sm 4.220 0.000 7.407
Sm 5.234 0.000 3.450
Sm 11.089 0.000 4.744
Sm 12.103 0.000 0.787
Sm 16.758 0.000 5.962
As 1.390 0.000 6.845
As 8.161 0.000 4.097
As 14.933 0.000 1.349
P 2.411 0.000 2.719
P 13.911 0.000 5.475
Br 9.096 0.000 0.000
```

## Properties
**DOS(E_F)**: 0.34 states/eV/atom

***

## Sm6AsP2Br3 (PBE)

Data for crystalline Sm6AsP2Br3 at its relaxed geometry.

```
12
Lattice="9.349 -2.082 0.000 9.349 2.082 0.000 -2.383 0.000 8.279" Properties=species:S:1:pos:R:3 pbc="T T T"
Sm -0.292 0.000 1.918
Sm 4.962 0.000 3.680
Sm 4.265 0.000 7.313
Sm 12.050 0.000 0.966
Sm 11.353 0.000 4.599
Sm 16.608 0.000 6.361
As 9.349 0.000 0.000
P 2.341 0.000 2.776
P 13.974 0.000 5.503
Br 1.115 0.000 6.899
Br 8.158 0.000 4.139
Br 15.200 0.000 1.380
```

## Properties
**DOS(E_F)**: 0.32 states/eV/atom

***

## Sm6As2P3Br (PBE)

Data for crystalline Sm6As2P3Br at its relaxed geometry.

```
12
Lattice="9.091 -2.073 0.000 9.091 2.073 0.000 -1.993 0.000 8.147" Properties=species:S:1:pos:R:3 pbc="T T T"
Sm -0.416 0.000 1.828
Sm 5.071 0.000 3.393
Sm 4.254 0.000 7.448
Sm 11.936 0.000 0.699
Sm 11.118 0.000 4.754
Sm 16.606 0.000 6.319
As 1.350 0.000 6.754
As 14.840 0.000 1.393
P 2.320 0.000 2.722
P 9.091 0.000 0.000
P 13.870 0.000 5.425
Br 8.095 0.000 4.074
```

## Properties
**DOS(E_F)**: 0.32 states/eV/atom

***

## SnAsPBr2 (PBE)

Data for crystalline SnAsPBr2 at its relaxed geometry.

```
5
Lattice="5.020 0.000 0.000 0.000 5.020 0.000 0.000 0.000 5.156" Properties=species:S:1:pos:R:3 pbc="T T T"
Sn 0.000 0.000 0.000
As 2.510 2.510 0.000
P 2.510 2.510 2.578
Br 0.000 2.510 2.578
Br 2.510 0.000 2.578
```

## Properties
**DOS(E_F)**: 0.65 states/eV/atom

***

## SnAsPBr2 (PBE)

Data for crystalline SnAsPBr2 at its relaxed geometry.

```
5
Lattice="5.492 0.000 0.000 0.000 5.492 0.000 0.000 0.000 5.703" Properties=species:S:1:pos:R:3 pbc="T T T"
Sn 0.000 0.000 0.000
As 0.000 0.000 2.852
P 2.746 2.746 2.852
Br 0.000 2.746 0.000
Br 2.746 0.000 0.000
```

## Properties
**DOS(E_F)**: 0.19 states/eV/atom

***

## Sr4AsPBr2 (PBE)

Data for crystalline Sr4AsPBr2 at its relaxed geometry.

```
8
Lattice="7.851 0.000 0.000 0.000 4.512 0.000 -2.608 0.000 7.495" Properties=species:S:1:pos:R:3 pbc="T T T"
Sr 1.277 0.000 1.558
Sr -0.034 2.256 5.920
Sr 5.277 2.256 1.575
Sr 3.966 0.000 5.936
As 3.926 0.000 0.000
P 0.000 2.256 0.000
Br -1.304 0.000 3.747
Br 2.622 2.256 3.747
```

***

## SrAsPBr2 (PBE)

Data for crystalline SrAsPBr2 at its relaxed geometry.

```
5
Lattice="5.768 0.000 0.000 0.000 5.768 0.000 0.000 0.000 7.371" Properties=species:S:1:pos:R:3 pbc="T T T"
Sr 0.000 0.000 0.000
As 0.000 0.000 3.686
P 2.884 2.884 3.686
Br 0.000 2.884 0.000
Br 2.884 0.000 0.000
```

***

## SrAsPBr2 (PBE)

Data for crystalline SrAsPBr2 at its relaxed geometry.

```
5
Lattice="5.306 0.000 0.000 0.000 5.306 0.000 0.000 0.000 4.887" Properties=species:S:1:pos:R:3 pbc="T T T"
Sr 0.000 0.000 0.000
As 2.653 2.653 0.000
P 2.653 2.653 2.444
Br 0.000 2.653 2.444
Br 2.653 0.000 2.444
```

## Properties
**DOS(E_F)**: 0.46 states/eV/atom

***

## TaAsP2Br (PBE)

Data for crystalline TaAsP2Br at its relaxed geometry.

```
5
Lattice="4.826 0.000 0.000 0.000 4.826 0.000 0.000 0.000 4.801" Properties=species:S:1:pos:R:3 pbc="T T T"
Ta 0.000 0.000 0.000
As 2.413 2.413 0.000
P 0.000 2.413 2.401
P 2.413 0.000 2.401
Br 0.000 0.000 2.401
```

## Properties
**DOS(E_F)**: 1.10 states/eV/atom

***

## Tb6As3P2Br (PBE)

Data for crystalline Tb6As3P2Br at its relaxed geometry.

```
12
Lattice="8.927 -2.050 0.000 8.927 2.050 0.000 -1.831 0.000 8.040" Properties=species:S:1:pos:R:3 pbc="T T T"
Tb -0.422 0.000 2.199
Tb 4.134 0.000 7.261
Tb 5.136 0.000 3.386
Tb 10.887 0.000 4.654
Tb 11.889 0.000 0.779
Tb 16.445 0.000 5.842
As 1.356 0.000 6.718
As 8.011 0.000 4.020
As 14.667 0.000 1.322
P 2.368 0.000 2.669
P 13.655 0.000 5.371
Br 8.927 0.000 0.000
```

## Properties
**DOS(E_F)**: 0.33 states/eV/atom

***

## TcAs2PBr (PBE)

Data for crystalline TcAs2PBr at its relaxed geometry.

```
5
Lattice="4.807 0.000 0.000 0.000 4.807 0.000 0.000 0.000 4.874" Properties=species:S:1:pos:R:3 pbc="T T T"
Tc 0.000 0.000 0.000
As 0.000 2.403 2.437
As 2.403 0.000 2.437
P 2.403 2.403 2.437
Br 2.403 2.403 0.000
```

## Properties
**DOS(E_F)**: 0.66 states/eV/atom

***

Number 1: E_form (uncorrected) 0.72 eV per atom, magnetization 0.9 μB/f.u.. Number 2: E_form (uncorrected) -1.54 eV per atom, magnetization 0.0 μB/f.u.. Number 3: E_form (uncorrected) -1.46 eV per atom, magnetization 0.0 μB/f.u.. Number 4: E_form (uncorrected) -1.56 eV per atom, magnetization 0.0 μB/f.u.. Number 5: E_form (uncorrected) 0.27 eV per atom, magnetization 0.0 μB/f.u.. Number 6: E_form (uncorrected) 0.63 eV per atom, magnetization 0.9 μB/f.u.. Number 7: E_form (uncorrected) -1.58 eV per atom, magnetization 0.0 μB/f.u.. Number 8: E_form (uncorrected) 0.11 eV per atom, magnetization 0.0 μB/f.u.. Number 9: E_form (uncorrected) -0.44 eV per atom, magnetization 0.0 μB/f.u.. Number 10: E_form (uncorrected) 1.76 eV per atom, magnetization 0.5 μB/f.u.. Number 11: E_form (uncorrected) -1.54 eV per atom, magnetization 0.0 μB/f.u.. Number 12: E_form (uncorrected) 1.17 eV per atom, magnetization 3.4 μB/f.u..